Entry 1:
# RbTlAuSe2 GGA-PBE relaxed
# Symmetry: P2/c, No. 13
# Formation energy without anion corrections, eV per atom: -0.51
# Density of states at the Fermi level, states/eV/cell: 3.73
data_RbTlAuSe2
_chemical_formula_sum 'Rb2 Tl2 Au2 Se4'
_symmetry_space_group_name_H-M 'P 1'
_symmetry_Int_Tables_number 1
_cell_length_a 6.4225
_cell_length_b 7.9067
_cell_length_c 7.2325
_cell_angle_alpha 117.05
_cell_angle_beta 90.00
_cell_angle_gamma 90.00
loop_
_symmetry_equiv_pos_as_xyz
'x,y,z'
loop_
_atom_site_label
_atom_site_fract_x
_atom_site_fract_y
_atom_site_fract_z
Tl1 0.5005 0.0000 0.2500
Tl2 0.4995 0.0000 0.7500
Se1 0.2552 0.7402 0.3708
Se2 0.7448 0.7402 0.8708
Se3 0.2552 0.2598 0.1292
Se4 0.7448 0.2598 0.6292
Au1 0.0000 0.0000 0.5000
Au2 0.0000 0.0000 0.0000
Rb1 0.2392 0.5000 0.7500
Rb2 0.7608 0.5000 0.2500

Entry 2:
# RbTm2AuSe4 GGA-PBE relaxed
# Symmetry: Cmcm, No. 63
# Formation energy without anion corrections, eV per atom: -1.39
data_RbTm2AuSe4
_chemical_formula_sum 'Rb2 Tm4 Au2 Se8'
_symmetry_space_group_name_H-M 'P 1'
_symmetry_Int_Tables_number 1
_cell_length_a 4.1565
_cell_length_b 7.4637
_cell_length_c 14.6811
_cell_angle_alpha 90.00
_cell_angle_beta 90.00
_cell_angle_gamma 106.17
loop_
_symmetry_equiv_pos_as_xyz
'x,y,z'
loop_
_atom_site_label
_atom_site_fract_x
_atom_site_fract_y
_atom_site_fract_z
Se1 0.2582 0.5164 0.0987
Se2 0.7418 0.4836 0.9013
Se3 0.4491 0.8982 0.7500
Se4 0.2582 0.5164 0.4013
Se5 0.0000 0.0000 0.5000
Se6 0.7418 0.4836 0.5987
Se7 0.5509 0.1018 0.2500
Se8 0.0000 0.0000 0.0000
Tm1 0.3715 0.7431 0.9297
Tm2 0.6285 0.2569 0.4297
Tm3 0.6285 0.2569 0.0703
Tm4 0.3715 0.7431 0.5703
Rb1 0.1255 0.2510 0.7500
Rb2 0.8745 0.7490 0.2500
Au1 0.1602 0.3204 0.2500
Au2 0.8398 0.6796 0.7500

Entry 3:
# RbTmAuSe2 GGA-PBE relaxed
# Symmetry: P2/c, No. 13
# Formation energy without anion corrections, eV per atom: -1.08
# Density of states at the Fermi level, states/eV/cell: 4.69
data_RbTmAuSe2
_chemical_formula_sum 'Rb2 Tm2 Au2 Se4'
_symmetry_space_group_name_H-M 'P 1'
_symmetry_Int_Tables_number 1
_cell_length_a 4.9331
_cell_length_b 7.9965
_cell_length_c 7.8821
_cell_angle_alpha 97.16
_cell_angle_beta 90.00
_cell_angle_gamma 90.00
loop_
_symmetry_equiv_pos_as_xyz
'x,y,z'
loop_
_atom_site_label
_atom_site_fract_x
_atom_site_fract_y
_atom_site_fract_z
Au1 0.0000 0.0000 0.0000
Au2 0.0000 0.0000 0.5000
Rb1 0.1119 0.5000 0.7500
Rb2 0.8881 0.5000 0.2500
Se1 0.3782 0.7613 0.4711
Se2 0.6218 0.2387 0.5289
Se3 0.3782 0.2387 0.0289
Se4 0.6218 0.7613 0.9711
Tm1 0.4951 0.0000 0.2500
Tm2 0.5049 0.0000 0.7500

Entry 4:
# RbU2AuSe4 GGA-PBE relaxed
# Symmetry: Cmcm, No. 63
# Formation energy without anion corrections, eV per atom: -0.94
# Density of states at the Fermi level, states/eV/cell: 24.09
data_RbU2AuSe4
_chemical_formula_sum 'Rb2 U4 Au2 Se8'
_symmetry_space_group_name_H-M 'P 1'
_symmetry_Int_Tables_number 1
_cell_length_a 4.2459
_cell_length_b 7.4897
_cell_length_c 14.7421
_cell_angle_alpha 90.00
_cell_angle_beta 90.00
_cell_angle_gamma 106.47
loop_
_symmetry_equiv_pos_as_xyz
'x,y,z'
loop_
_atom_site_label
_atom_site_fract_x
_atom_site_fract_y
_atom_site_fract_z
Se1 0.7359 0.4718 0.8969
Se2 0.5544 0.1088 0.2500
Se3 0.0000 0.0000 0.5000
Se4 0.4456 0.8912 0.7500
Se5 0.0000 0.0000 0.0000
Se6 0.2641 0.5282 0.1031
Se7 0.7359 0.4718 0.6031
Se8 0.2641 0.5282 0.3969
Rb1 0.1203 0.2407 0.7500
Rb2 0.8797 0.7593 0.2500
Au1 0.1578 0.3157 0.2500
Au2 0.8422 0.6843 0.7500
U1 0.6296 0.2592 0.4354
U2 0.3704 0.7408 0.9354
U3 0.3704 0.7408 0.5646
U4 0.6296 0.2592 0.0646

Entry 5:
# RbUAuSe3 GGA-PBE relaxed
# Symmetry: Cmcm, No. 63
# Formation energy without anion corrections, eV per atom: -1.00
# Density of states at the Fermi level, states/eV/cell: 10.70
data_RbUAuSe3
_chemical_formula_sum 'Rb2 U2 Au2 Se6'
_symmetry_space_group_name_H-M 'P 1'
_symmetry_Int_Tables_number 1
_cell_length_a 8.0213
_cell_length_b 8.0213
_cell_length_c 10.7883
_cell_angle_alpha 90.00
_cell_angle_beta 90.00
_cell_angle_gamma 149.46
loop_
_symmetry_equiv_pos_as_xyz
'x,y,z'
loop_
_atom_site_label
_atom_site_fract_x
_atom_site_fract_y
_atom_site_fract_z
Rb1 0.2510 0.7490 0.7500
Rb2 0.7490 0.2510 0.2500
U1 0.0000 0.0000 0.5000
U2 0.0000 0.0000 0.0000
Se1 0.6236 0.3764 0.9605
Se2 0.3764 0.6236 0.0395
Se3 0.3764 0.6236 0.4605
Se4 0.0642 0.9358 0.2500
Se5 0.6236 0.3764 0.5395
Se6 0.9358 0.0642 0.7500
Au1 0.4549 0.5451 0.2500
Au2 0.5451 0.4549 0.7500

Entry 6:
# RbUAuSe2 GGA-PBE relaxed
# Symmetry: P2/c, No. 13
# Formation energy without anion corrections, eV per atom: -0.76
# Density of states at the Fermi level, states/eV/cell: 6.34
data_RbUAuSe2
_chemical_formula_sum 'Rb2 U2 Au2 Se4'
_symmetry_space_group_name_H-M 'P 1'
_symmetry_Int_Tables_number 1
_cell_length_a 5.0037
_cell_length_b 7.9900
_cell_length_c 7.6434
_cell_angle_alpha 90.08
_cell_angle_beta 90.00
_cell_angle_gamma 90.00
loop_
_symmetry_equiv_pos_as_xyz
'x,y,z'
loop_
_atom_site_label
_atom_site_fract_x
_atom_site_fract_y
_atom_site_fract_z
Se1 0.4999 0.2596 0.5004
Se2 0.5001 0.7404 0.4996
Se3 0.5001 0.2596 0.0004
Se4 0.4999 0.7404 0.9996
Au1 0.0000 0.0000 0.0000
Au2 0.0000 0.0000 0.5000
Rb1 0.0009 0.5000 0.2500
Rb2 0.9991 0.5000 0.7500
U1 0.5000 0.0000 0.2500
U2 0.5000 0.0000 0.7500

Entry 7:
# Rb2UAuSe5 GGA-PBE relaxed
# Symmetry: Cmc2_1, No. 36
# Formation energy without anion corrections, eV per atom: -0.83
# Density of states at the Fermi level, states/eV/cell: 12.47
data_Rb2UAuSe5
_chemical_formula_sum 'Rb4 U2 Au2 Se10'
_symmetry_space_group_name_H-M 'P 1'
_symmetry_Int_Tables_number 1
_cell_length_a 4.1619
_cell_length_b 10.5027
_cell_length_c 14.1838
_cell_angle_alpha 90.00
_cell_angle_beta 90.00
_cell_angle_gamma 101.43
loop_
_symmetry_equiv_pos_as_xyz
'x,y,z'
loop_
_atom_site_label
_atom_site_fract_x
_atom_site_fract_y
_atom_site_fract_z
U1 0.8021 0.6042 0.5141
U2 0.1979 0.3958 0.0141
Se1 0.2979 0.5958 0.3844
Se2 0.9328 0.8656 0.5373
Se3 0.3021 0.6042 0.6415
Se4 0.6979 0.3958 0.1415
Se5 0.3236 0.6473 0.0129
Se6 0.6764 0.3527 0.5129
Se7 0.0672 0.1344 0.0373
Se8 0.7021 0.4042 0.8844
Se9 0.4942 0.9884 0.2823
Se10 0.5058 0.0116 0.7823
Rb1 0.1243 0.2486 0.6936
Rb2 0.8757 0.7514 0.1936
Rb3 0.1230 0.2461 0.3296
Rb4 0.8770 0.7539 0.8296
Au1 0.4303 0.8605 0.4283
Au2 0.5697 0.1395 0.9283

Entry 8:
# RbU3Au4Se12 GGA-PBE relaxed
# Symmetry: R32, No. 155
# Formation energy without anion corrections, eV per atom: -0.56
# Density of states at the Fermi level, states/eV/cell: 14.14
data_RbU3Au4Se12
_chemical_formula_sum 'Rb1 U3 Au4 Se12'
_symmetry_space_group_name_H-M 'P 1'
_symmetry_Int_Tables_number 1
_cell_length_a 9.4408
_cell_length_b 9.4408
_cell_length_c 9.4408
_cell_angle_alpha 109.33
_cell_angle_beta 109.33
_cell_angle_gamma 109.33
loop_
_symmetry_equiv_pos_as_xyz
'x,y,z'
loop_
_atom_site_label
_atom_site_fract_x
_atom_site_fract_y
_atom_site_fract_z
Se1 0.6642 0.5000 0.3358
Se2 0.5000 0.3358 0.6642
Se3 0.2442 0.3250 0.9499
Se4 0.3358 0.6642 0.5000
Se5 0.6750 0.7558 0.0501
Se6 0.8914 0.5000 0.1086
Se7 0.7558 0.0501 0.6750
Se8 0.1086 0.8914 0.5000
Se9 0.5000 0.1086 0.8914
Se10 0.9499 0.2442 0.3250
Se11 0.0501 0.6750 0.7558
Se12 0.3250 0.9499 0.2442
Rb1 0.0000 0.0000 0.0000
U1 0.0000 0.5621 0.4379
U2 0.4379 0.0000 0.5621
U3 0.5621 0.4379 0.0000
Au1 0.1692 0.5000 0.8308
Au2 0.5000 0.8308 0.1692
Au3 0.8308 0.1692 0.5000
Au4 0.5000 0.5000 0.5000

Entry 9:
# Rb2UAu2Se6 GGA-PBE relaxed
# Symmetry: C2/m, No. 12
# Formation energy without anion corrections, eV per atom: -0.64
# Density of states at the Fermi level, states/eV/cell: 5.55
data_Rb2UAu2Se6
_chemical_formula_sum 'Rb2 U1 Au2 Se6'
_symmetry_space_group_name_H-M 'P 1'
_symmetry_Int_Tables_number 1
_cell_length_a 6.6364
_cell_length_b 7.7892
_cell_length_c 8.9454
_cell_angle_alpha 116.18
_cell_angle_beta 90.00
_cell_angle_gamma 115.21
loop_
_symmetry_equiv_pos_as_xyz
'x,y,z'
loop_
_atom_site_label
_atom_site_fract_x
_atom_site_fract_y
_atom_site_fract_z
Rb1 0.2997 0.5994 0.8082
Rb2 0.7003 0.4006 0.1918
Se1 0.7094 0.4187 0.5924
Se2 0.1970 0.8889 0.2235
Se3 0.8030 0.1111 0.7765
Se4 0.2906 0.5813 0.4076
Se5 0.3081 0.1111 0.7765
Se6 0.6919 0.8889 0.2235
Au1 0.9033 0.8067 0.6832
Au2 0.0967 0.1933 0.3168
U1 0.5000 0.0000 0.5000

Entry 10:
# Rb2UAuSe4 GGA-PBE relaxed
# Symmetry: I-4, No. 82
# Formation energy without anion corrections, eV per atom: -0.75
# Density of states at the Fermi level, states/eV/cell: 7.60
data_Rb2UAuSe4
_chemical_formula_sum 'Rb2 U1 Au1 Se4'
_symmetry_space_group_name_H-M 'P 1'
_symmetry_Int_Tables_number 1
_cell_length_a 7.1663
_cell_length_b 7.1663
_cell_length_c 7.1663
_cell_angle_alpha 104.30
_cell_angle_beta 112.12
_cell_angle_gamma 112.12
loop_
_symmetry_equiv_pos_as_xyz
'x,y,z'
loop_
_atom_site_label
_atom_site_fract_x
_atom_site_fract_y
_atom_site_fract_z
Se1 0.9055 0.5653 0.1360
Se2 0.4293 0.8640 0.7695
Se3 0.0945 0.2305 0.6597
Se4 0.5707 0.3403 0.4347
Rb1 0.5000 0.7500 0.2500
Rb2 0.0000 0.0000 0.0000
Au1 0.0000 0.5000 0.5000
U1 0.5000 0.2500 0.7500

Entry 11:
# RbV2AuSe GGA-PBE relaxed
# Symmetry: P4/mmm, No. 123
# Formation energy without anion corrections, eV per atom: 0.83
# Density of states at the Fermi level, states/eV/cell: 6.72
data_RbV2AuSe
_chemical_formula_sum 'Rb1 V2 Au1 Se1'
_symmetry_space_group_name_H-M 'P 1'
_symmetry_Int_Tables_number 1
_cell_length_a 5.1344
_cell_length_b 5.1344
_cell_length_c 5.4880
_cell_angle_alpha 90.00
_cell_angle_beta 90.00
_cell_angle_gamma 90.00
loop_
_symmetry_equiv_pos_as_xyz
'x,y,z'
loop_
_atom_site_label
_atom_site_fract_x
_atom_site_fract_y
_atom_site_fract_z
Se1 0.0000 0.0000 0.5000
V1 0.0000 0.5000 0.0000
V2 0.5000 0.0000 0.0000
Au1 0.0000 0.0000 0.0000
Rb1 0.5000 0.5000 0.5000

Entry 12:
# RbYAuSe2 GGA-PBE relaxed
# Symmetry: P2/c, No. 13
# Formation energy without anion corrections, eV per atom: -1.10
# Density of states at the Fermi level, states/eV/cell: 5.38
data_RbYAuSe2
_chemical_formula_sum 'Rb2 Y2 Au2 Se4'
_symmetry_space_group_name_H-M 'P 1'
_symmetry_Int_Tables_number 1
_cell_length_a 4.9874
_cell_length_b 7.9798
_cell_length_c 8.0348
_cell_angle_alpha 97.87
_cell_angle_beta 90.00
_cell_angle_gamma 90.00
loop_
_symmetry_equiv_pos_as_xyz
'x,y,z'
loop_
_atom_site_label
_atom_site_fract_x
_atom_site_fract_y
_atom_site_fract_z
Se1 0.3642 0.7606 0.4690
Se2 0.3642 0.2394 0.0310
Se3 0.6358 0.7606 0.9690
Se4 0.6358 0.2394 0.5310
Rb1 0.1225 0.5000 0.7500
Rb2 0.8775 0.5000 0.2500
Y1 0.4947 0.0000 0.2500
Y2 0.5053 0.0000 0.7500
Au1 0.0000 0.0000 0.5000
Au2 0.0000 0.0000 0.0000

| no. | total magnetization (μB per cell) |
| --- | --- |
| 1 | 0.00 |
| 2 | 0.00 |
| 3 | 0.00 |
| 4 | 11.99 |
| 5 | 4.00 |
| 6 | 3.94 |
| 7 | 0.17 |
| 8 | 0.00 |
| 9 | 0.00 |
| 10 | 0.99 |
| 11 | 6.72 |
| 12 | 0.00 |